Pu2CdHg2: optimized geometry, PBE.

Values from the calculation:
The calculation puts the density of states at the Fermi level at 2.960 states/eV per atom. The energy of formation from the pure elements comes out at 0.006 eV/atom. Its volume is 24.098 A^3/atom.

a = 11.3981 Å, b = 3.4145 Å, c = 12.3955 Å
α = 90.00°, β = 92.50°, γ = 90.00°
Space group C2/m (No. 12)
Unique sites:
Pu  0.0677  0.0000  0.3467
Pu  0.1935  0.0000  0.0312
Cd  0.2152  0.0000  0.7632
Hg  0.0164  0.5000  0.8698
Hg  0.1506  0.5000  0.5603